Record 1
Crystalline Ac2Ga12Ge at its relaxed geometry, computed with PBE.

a = 6.5511 Å, b = 6.5511 Å, c = 15.2630 Å
α = 90.00°, β = 90.00°, γ = 90.00°
Last column: nearest neighbours and their distance in Å.
Space group P4/nbm (No. 125, origin choice 2)
Inequivalent atoms, fractional coordinates:
Ac1 0.2500 0.7500 0.2455 x4  14 Ga 3.25-3.58
Ga1 0.0011 0.5011 0.0869 x8  3 Ga 2.65-2.66, 2 Ge 2.66-2.68
Ga2 0.0661 0.5661 0.5730 x8  3 Ga 2.54-2.73
Ga3 0.2500 0.2500 0.1723 x4  5 Ga 2.57-2.66
Ga4 0.2500 0.2500 0.3408 x4  5 Ga 2.57-2.73
Ge1 0.2500 0.7500 0.0000 x2  8 Ga 2.66-2.68

Values from the calculation:
**ΔE_f**: -0.27 eV/atom

Record 2
Crystalline NiIr2Se at its relaxed geometry, computed with PBE.

a = 5.6016 Å, b = 7.0629 Å, c = 2.8971 Å
α = 90.00°, β = 90.00°, γ = 90.00°
Last column: nearest neighbours and their distance in Å.
Space group Cmmm (No. 65)
Inequivalent atoms, fractional coordinates:
Ni1 0.0000 0.0000 0.0000 x2  8 Ir 2.68, 2 Se 2.80, 2 Ni 2.90
Ir1 0.2500 0.2500 0.5000 x4  4 Se 2.68, 4 Ni 2.68, 4 Ir 2.80-2.90
Se1 0.0000 0.5000 0.0000 x2  8 Ir 2.68, 2 Ni 2.80, 2 Se 2.90

Values from the calculation:
**Energy above the lowest structure with this stoichiometry**: 15.19 kJ/mol of atoms
**Raw formation energy**: 0.397 eV/atom

Record 3
Crystalline AlN at its relaxed geometry, computed with PBE.

a = 5.9698 Å, b = 8.4356 Å, c = 8.7755 Å
α = 90.00°, β = 90.00°, γ = 90.00°
Last column: nearest neighbours and their distance in Å.
Space group Fddd (No. 70, origin choice 2)
Inequivalent atoms, fractional coordinates:
Al1 0.1250 0.1250 0.2767 x16  4 N 1.86-1.95
N1 0.1250 0.2935 0.1250 x16  4 Al 1.86-1.95

Values from the calculation:
**Raw formation energy**: -1.174 eV/atom